[1]
Entry from the Alexandria database: a relaxed structure of PmSi3Au (PBE).

Cell lengths 11.0614, 11.0614, 4.2474 Å; angles 90.00, 90.00, 157.82 degrees
Closest atoms and distances in Å follow each position.
Atoms (fractional coordinates):
Pm  0.1708  0.8292  0.0000  10 Si 3.09-3.31, 4 Au 3.25
Pm  0.8292  0.1708  0.0000  10 Si 3.09-3.31, 4 Au 3.25
Si  0.0536  0.9464  0.5000  1 Si 2.33, 2 Au 2.49
Si  0.2744  0.7256  0.5000  2 Si 2.38, 1 Au 2.43
Si  0.4462  0.5538  0.0000  1 Si 2.33, 2 Au 2.49
Si  0.5538  0.4462  0.0000  1 Si 2.33, 2 Au 2.49
Si  0.7256  0.2744  0.5000  2 Si 2.38, 1 Au 2.43
Si  0.9464  0.0536  0.5000  1 Si 2.33, 2 Au 2.49
Au  0.3865  0.6135  0.5000  5 Si 2.43-2.49
Au  0.6135  0.3865  0.5000  5 Si 2.43-2.49

Properties
magnetic moment	0.0000	μB per atom
ΔE_f (raw)	-0.374	eV/atom

[2]
Entry from the Alexandria database: a relaxed structure of Pm3Si2Au4 (PBE).

Cell lengths 5.9398, 5.9398, 8.7687 Å; angles 108.43, 108.43, 43.93 degrees
Closest atoms and distances in Å follow each position.
Atoms (fractional coordinates):
Pm  0.0000  0.0000  0.0000  8 Au 3.13-3.42, 4 Si 3.22
Pm  0.3357  0.3357  0.3360  8 Au 3.18-3.40, 4 Si 3.18-3.27
Pm  0.6643  0.6643  0.6640  8 Au 3.18-3.40, 4 Si 3.18-3.27
Si  0.3935  0.3935  0.7198  3 Au 2.51
Si  0.6065  0.6065  0.2802  3 Au 2.51
Au  0.0601  0.0601  0.3819  2 Si 2.51, 1 Au 2.81
Au  0.2874  0.2874  0.9317  1 Si 2.51, 2 Au 2.78
Au  0.7126  0.7126  0.0683  1 Si 2.51, 2 Au 2.78
Au  0.9399  0.9399  0.6181  2 Si 2.51, 1 Au 2.81

Properties
magnetic moment	0.0000	μB per atom
ΔE_f (raw)	-0.793	eV/atom

[3]
Entry from the Alexandria database: a relaxed structure of Pm8Si2Au (PBE).

Cell lengths 9.9787, 9.9787, 6.9432 Å; angles 103.71, 103.71, 28.23 degrees
Closest atoms and distances in Å follow each position.
Atoms (fractional coordinates):
Pm  0.0280  0.0280  0.2769  2 Au 3.00, 1 Si 3.07
Pm  0.2146  0.2146  0.8297  3 Si 3.10-3.26, 4 Pm 3.36-3.44
Pm  0.3378  0.3378  0.5092  3 Si 3.05-3.10, 1 Au 3.16, 2 Pm 3.36
Pm  0.4034  0.4034  0.0227  2 Si 3.27, 1 Au 3.38, 8 Pm 3.48-3.66
Pm  0.5966  0.5966  0.9773  2 Si 3.27, 1 Au 3.38, 8 Pm 3.48-3.66
Pm  0.6622  0.6622  0.4908  3 Si 3.05-3.10, 1 Au 3.16, 2 Pm 3.36
Pm  0.7854  0.7854  0.1703  3 Si 3.10-3.26, 4 Pm 3.36-3.44
Pm  0.9720  0.9720  0.7231  2 Au 3.00, 1 Si 3.07
Si  0.1833  0.1833  0.2464  9 Pm 3.05-3.27
Si  0.8167  0.8167  0.7536  9 Pm 3.05-3.27
Au  0.5000  0.5000  0.5000  6 Pm 3.00-3.16

Properties
magnetic moment	0.0000	μB per atom
ΔE_f (raw)	-0.367	eV/atom

[4]
Entry from the Alexandria database: a relaxed structure of PmSi2Au8 (PBE).

Cell lengths 5.7084, 5.7084, 7.8148 Å; angles 90.00, 90.00, 90.00 degrees
Closest atoms and distances in Å follow each position.
Atoms (fractional coordinates):
Pm  0.0000  0.0000  0.0000  8 Au 3.07
Si  0.0000  0.5000  0.5000  8 Au 2.58
Si  0.5000  0.0000  0.5000  8 Au 2.58
Au  0.2530  0.2530  0.2942  2 Si 2.58, 4 Au 2.82-2.89
Au  0.2530  0.2530  0.7058  2 Si 2.58, 4 Au 2.82-2.89
Au  0.2530  0.7470  0.2942  2 Si 2.58, 4 Au 2.82-2.89
Au  0.2530  0.7470  0.7058  2 Si 2.58, 4 Au 2.82-2.89
Au  0.7470  0.2530  0.2942  2 Si 2.58, 4 Au 2.82-2.89
Au  0.7470  0.2530  0.7058  2 Si 2.58, 4 Au 2.82-2.89
Au  0.7470  0.7470  0.2942  2 Si 2.58, 4 Au 2.82-2.89
Au  0.7470  0.7470  0.7058  2 Si 2.58, 4 Au 2.82-2.89

Properties
magnetic moment	0.0000	μB per atom
ΔE_f (raw)	-0.028	eV/atom

[5]
Entry from the Alexandria database: a relaxed structure of PmSi3Au3 (PBE).

Cell lengths 6.8152, 6.8152, 6.8152 Å; angles 90.00, 90.00, 90.00 degrees
Closest atoms and distances in Å follow each position.
Atoms (fractional coordinates):
Pm  0.0000  0.0000  0.0000  12 Si 3.81, 12 Au 3.81
Pm  0.5000  0.5000  0.5000  12 Si 3.81, 12 Au 3.81
Si  0.0000  0.2500  0.5000  4 Au 2.41
Si  0.0000  0.7500  0.5000  4 Au 2.41
Si  0.2500  0.5000  0.0000  4 Au 2.41
Si  0.5000  0.0000  0.2500  4 Au 2.41
Si  0.5000  0.0000  0.7500  4 Au 2.41
Si  0.7500  0.5000  0.0000  4 Au 2.41
Au  0.0000  0.5000  0.2500  4 Si 2.41
Au  0.0000  0.5000  0.7500  4 Si 2.41
Au  0.2500  0.0000  0.5000  4 Si 2.41
Au  0.5000  0.2500  0.0000  4 Si 2.41
Au  0.5000  0.7500  0.0000  4 Si 2.41
Au  0.7500  0.0000  0.5000  4 Si 2.41

Properties
magnetic moment	0.0000	μB per atom
ΔE_f (raw)	-0.082	eV/atom

[6]
Entry from the Alexandria database: a relaxed structure of Pm12SiAu6 (PBE).

Cell lengths 8.6396, 8.6396, 8.6396 Å; angles 99.59, 99.59, 99.59 degrees
Closest atoms and distances in Å follow each position.
Atoms (fractional coordinates):
Pm  0.0531  0.6796  0.9235  1 Si 2.87, 2 Au 2.98-3.02
Pm  0.0765  0.9469  0.3204  1 Si 2.87, 2 Au 2.98-3.02
Pm  0.1794  0.4215  0.5802  4 Au 2.93-3.11
Pm  0.3204  0.0765  0.9469  1 Si 2.87, 2 Au 2.98-3.02
Pm  0.4198  0.8206  0.5785  4 Au 2.93-3.11
Pm  0.4215  0.5802  0.1794  4 Au 2.93-3.11
Pm  0.5785  0.4198  0.8206  4 Au 2.93-3.11
Pm  0.5802  0.1794  0.4215  4 Au 2.93-3.11
Pm  0.6796  0.9235  0.0531  1 Si 2.87, 2 Au 2.98-3.02
Pm  0.8206  0.5785  0.4198  4 Au 2.93-3.11
Pm  0.9235  0.0531  0.6796  1 Si 2.87, 2 Au 2.98-3.02
Pm  0.9469  0.3204  0.0765  1 Si 2.87, 2 Au 2.98-3.02
Si  0.0000  0.0000  0.0000  6 Pm 2.87
Au  0.1365  0.6163  0.3133  6 Pm 2.93-3.11
Au  0.3133  0.1365  0.6163  6 Pm 2.93-3.11
Au  0.3837  0.6867  0.8635  6 Pm 2.93-3.11
Au  0.6163  0.3133  0.1365  6 Pm 2.93-3.11
Au  0.6867  0.8635  0.3837  6 Pm 2.93-3.11
Au  0.8635  0.3837  0.6867  6 Pm 2.93-3.11

Properties
magnetic moment	0.0000	μB per atom
ΔE_f (raw)	-0.420	eV/atom